# CsZrCr3 (PBE-GGA, relaxed)
data_CsZrCr3
_cell_length_a 4.9301
_cell_length_b 4.9301
_cell_length_c 4.9301
_cell_angle_alpha 90.00
_cell_angle_beta 90.00
_cell_angle_gamma 90.00
_space_group_name_H-M_alt 'P m -3 m'
_space_group_IT_number 221
_space_group_name_Hall '-P 4 2 3'
loop_
_atom_site_label
_atom_site_type_symbol
_atom_site_fract_x
_atom_site_fract_y
_atom_site_fract_z
Cs1 Cs 0.0000 0.0000 0.0000
Zr1 Zr 0.5000 0.5000 0.5000
Cr1 Cr 0.0000 0.0000 0.5000
# Energy of formation from the pure elements: 2.46 eV/atom
# Calculated volume: 23.97 Å³/atom
# E: -5.198 eV/atom
# Spin magnetization: 9.06 Bohr magnetons per cell
# N(E_F): 6.397 states/eV/f.u.